The following is a PBE-GGA calculation of a relaxed structure of ZrFe2Cu, from the Alexandria database.

Cell: 2.8546 2.8546 25.5368 Å, 90.00 90.00 120.00°
Last column: nearest neighbours and their distance in Å.
Space group R3m (No. 160, hexagonal axes)
Asymmetric unit:
Zr (0.0000, 0.0000, 0.0000) (multiplicity 3)  6 Zr 2.85, 3 Fe 2.89, 3 Cu 2.91
Fe (0.0000, 0.0000, 0.2406) (multiplicity 3)  3 Fe 2.42
Fe (0.0000, 0.0000, 0.5043) (multiplicity 3)  3 Fe 2.42, 3 Cu 2.57
Cu (0.0000, 0.0000, 0.7604) (multiplicity 3)  3 Fe 2.57, 6 Cu 2.85

Its crystal system is trigonal. The final energy is -7.10 eV/atom. The volume is 180.2 Å³ per cell. The calculation puts the formation enthalpy at 0 K at 0.295 eV per atom.

***

The following is a PBE-GGA calculation of a relaxed structure of Zr2FeCu, from the Alexandria database.

Cell: 10.5052 3.2457 4.3865 Å, 90.00 114.57 90.00°
Last column: nearest neighbours and their distance in Å.
Space group Cm (No. 8)
Asymmetric unit:
Zr (0.0000, 0.0000, 0.0000) (multiplicity 2)  4 Fe 2.73, 2 Cu 3.02-3.03, 2 Zr 3.04
Zr (0.2208, 0.0000, 0.7196) (multiplicity 2)  2 Fe 2.73, 4 Cu 2.79, 2 Zr 3.04
Fe (0.4912, 0.0000, 0.4917) (multiplicity 2)  2 Cu 2.58, 6 Zr 2.73
Cu (0.2818, 0.5000, 0.2802) (multiplicity 2)  2 Fe 2.58, 4 Zr 2.79

Its crystal system is monoclinic. The final energy is -7.41 eV/atom. The volume is 136.0 Å³ per cell. The calculation puts the formation enthalpy at 0 K at 0.006 eV per atom.

***

The following is a PBE-GGA calculation of a relaxed structure of ZrFe2Cu, from the Alexandria database.

Cell: 6.0650 6.0650 6.0650 Å, 90.00 90.00 90.00°
Last column: nearest neighbours and their distance in Å.
Space group Fm-3m (No. 225)
Asymmetric unit:
Zr (0.0000, 0.0000, 0.0000) (multiplicity 4)  8 Fe 2.63
Fe (0.2500, 0.2500, 0.2500) (multiplicity 8)  4 Zr 2.63, 4 Cu 2.63
Cu (0.0000, 0.0000, 0.5000) (multiplicity 4)  8 Fe 2.63

Its crystal system is cubic. The final energy is -7.27 eV/atom. The volume is 223.1 Å³ per cell. The calculation puts the formation enthalpy at 0 K at 0.124 eV per atom.

***

The following is a PBE-GGA calculation of a relaxed structure of ZrFeCu2, from the Alexandria database.

Cell: 5.2033 7.7548 2.8989 Å, 90.00 90.00 90.00°
Last column: nearest neighbours and their distance in Å.
Space group Cmmm (No. 65)
Asymmetric unit:
Zr (0.0000, 0.0000, 0.0000) (multiplicity 2)  2 Fe 2.60, 8 Cu 2.75, 2 Zr 2.90
Fe (0.0000, 0.5000, 0.0000) (multiplicity 2)  2 Zr 2.60, 8 Cu 2.75, 2 Fe 2.90
Cu (0.2500, 0.2500, 0.5000) (multiplicity 4)  4 Cu 2.60-2.90, 4 Zr 2.75, 4 Fe 2.75

Its crystal system is orthorhombic. The final energy is -6.14 eV/atom. The volume is 117.0 Å³ per cell. The calculation puts the formation enthalpy at 0 K at 0.158 eV per atom.

***

The following is a PBE-GGA calculation of a relaxed structure of ZrFe2Cu, from the Alexandria database.

Cell: 3.1066 3.1131 6.0033 Å, 90.00 90.19 90.00°
Last column: nearest neighbours and their distance in Å.
Space group Pm (No. 6)
Asymmetric unit:
Zr (0.0000, 0.0000, 0.0000) (multiplicity 1)  5 Fe 2.74-2.89, 4 Cu 2.84
Fe (0.0018, 0.0000, 0.5184) (multiplicity 1)  4 Fe 2.52-2.53, 4 Cu 2.56
Fe (0.5010, 0.5000, 0.7264) (multiplicity 1)  4 Fe 2.52-2.53, 1 Cu 2.57, 4 Zr 2.74-2.75
Cu (0.5012, 0.5000, 0.2991) (multiplicity 1)  5 Fe 2.56-2.57, 4 Zr 2.84

Its crystal system is monoclinic. The final energy is -7.36 eV/atom. The volume is 58.1 Å³ per cell. The calculation puts the formation enthalpy at 0 K at 0.037 eV per atom.

***

The following is a PBE-GGA calculation of a relaxed structure of ZrFeCu2, from the Alexandria database.

Cell: 6.1524 6.1524 6.1524 Å, 90.00 90.00 90.00°
Last column: nearest neighbours and their distance in Å.
Space group F-43m (No. 216)
Asymmetric unit:
Zr (0.0000, 0.0000, 0.0000) (multiplicity 4)  4 Cu 2.66, 4 Fe 2.66
Fe (0.2500, 0.2500, 0.7500) (multiplicity 4)  4 Zr 2.66, 4 Cu 2.66
Cu (0.0000, 0.0000, 0.5000) (multiplicity 4)  4 Fe 2.66, 4 Cu 2.66
Cu (0.2500, 0.2500, 0.2500) (multiplicity 4)  4 Zr 2.66, 4 Cu 2.66

Its crystal system is cubic. The final energy is -6.20 eV/atom. The volume is 232.9 Å³ per cell. The calculation puts the formation enthalpy at 0 K at 0.101 eV per atom.

***

Number 1: density of states at the Fermi level 0.785 states/eV/atom. Number 2: density of states at the Fermi level 0.897 states/eV/atom. Number 3: density of states at the Fermi level 0.686 states/eV/atom. Number 4: density of states at the Fermi level 0.868 states/eV/atom. Number 5: density of states at the Fermi level 1.063 states/eV/atom. Number 6: density of states at the Fermi level 1.362 states/eV/atom.